{
  "formula": "La3Hg",
  "functional": "PBE",
  "state": "optimized geometry",
  "delta_e_f_kj_per_mol_atoms": -19.7,
  "e_above_lowest_polymorph_ev_per_atom": 0.047,
  "lattice": [[-1.0368, 3.6557, 0.3852], [-2.4516, -1.0851, 3.6983], [4.8784, 4.8750, 4.6642]],
  "species": ["Hg", "La", "La", "La"],
  "frac_coords": [[0.0000, 0.0000, 0.0000], [0.7242, 0.5000, 0.7750], [0.2758, 0.5000, 0.2250], [0.5000, 0.0000, 0.5000]]
}

---

{
  "formula": "LaHg",
  "functional": "PBE",
  "state": "optimized geometry",
  "delta_e_f_kj_per_mol_atoms": -42.1,
  "lattice": [[-10.6731, -2.6805, -2.5413], [2.3609, -9.1023, -0.3148], [-1.4421, -0.6056, 6.6953]],
  "species": ["La", "La", "Hg", "Hg", "Hg", "La", "Hg", "Hg", "La", "La", "Hg", "La", "La", "La", "La", "La", "Hg", "Hg", "Hg", "La", "Hg", "Hg", "La", "Hg"],
  "frac_coords": [[0.3885, 0.7500, 0.0000], [0.6864, 0.8618, 0.7500], [0.5773, 0.9555, 0.2500], [0.0771, 0.2500, 0.0000], [0.4227, 0.0445, 0.7500], [0.1226, 0.5467, 0.2500], [0.8655, 0.3863, 0.2500], [0.9229, 0.7500, 0.0000], [0.6115, 0.2500, 0.5000], [0.3136, 0.3618, 0.7500], [0.5773, 0.5445, 0.7500], [0.8774, 0.0467, 0.2500], [0.3136, 0.1382, 0.2500], [0.8774, 0.4533, 0.7500], [0.6864, 0.6382, 0.2500], [0.1226, 0.9533, 0.7500], [0.9229, 0.7500, 0.5000], [0.0771, 0.2500, 0.5000], [0.4227, 0.4555, 0.2500], [0.6115, 0.2500, 0.0000], [0.1345, 0.6137, 0.7500], [0.8655, 0.1137, 0.7500], [0.3885, 0.7500, 0.5000], [0.1345, 0.8863, 0.2500]]
}

---

{
  "formula": "La3Hg",
  "functional": "PBE",
  "state": "optimized geometry",
  "delta_e_f_kj_per_mol_atoms": -12.7,
  "e_above_lowest_polymorph_ev_per_atom": 0.119,
  "lattice": [[6.7641, -0.6569, -0.2592], [-3.7421, 5.6729, -0.2592], [-1.1775, -1.9544, 7.6117]],
  "species": ["La", "Hg", "La", "La", "Hg", "La", "La", "La"],
  "frac_coords": [[0.2108, 0.5285, 0.7387], [0.8752, 0.1248, 0.0000], [0.4715, 0.7892, 0.2613], [0.1980, 0.1980, 0.3969], [0.1248, 0.8752, 0.0000], [0.8020, 0.8020, 0.6031], [0.5285, 0.2108, 0.7387], [0.7892, 0.4715, 0.2613]]
}

---

| no. | DOS at the Fermi energy (states/eV per atom) | E_tot (eV for the cell shown) |
| --- | --- | --- |
| 1 | 1.557 | -15.90 |
| 2 | 1.134 | -73.23 |
| 3 | 1.194 | -31.22 |